Entry 1:
Cs2TbBiSe4 | PBE-GGA | relaxed

a = 9.0203 Å, b = 9.3096 Å, c = 12.9628 Å
α = 90.00°, β = 90.00°, γ = 90.00°
With the nearest neighbours (Å) after each atom.
Space group Imma (No. 74)
One atom of each set of equivalent atoms:
1 Cs 0.0000 0.0000 0.0000 x4  6 Se 3.47-3.49
2 Cs 0.2500 0.2500 0.2500 x4  6 Se 3.55
3 Tb 0.2500 0.2500 0.7500 x4  6 Se 2.96-2.97
4 Bi 0.0000 0.0000 0.5000 x4  6 Se 3.05
5 Se 0.0000 0.0441 0.7329 x8  2 Tb 2.97, 1 Bi 3.05
6 Se 0.2158 0.2500 0.5226 x8  1 Tb 2.96, 2 Bi 3.05

Calculated values
The total moment comes out at 0.00 μB per cell. The value obtained for the raw formation energy is -9.5 eV per formula unit. The calculated total energy comes out at -4.20 eV/atom. The density is 5.8 g cm⁻³.

Entry 2:
CsNd2Cl8 | PBE-GGA | relaxed

a = 8.6695 Å, b = 14.2096 Å, c = 5.3787 Å
α = 90.00°, β = 90.00°, γ = 90.00°
With the nearest neighbours (Å) after each atom.
Space group Cmmm (No. 65)
One atom of each set of equivalent atoms:
1 Cs 0.0000 0.0000 0.0000 x2  10 Cl 3.72-3.73
2 Nd 0.0000 0.3026 0.5000 x4  6 Cl 2.75-2.87
3 Cl 0.0000 0.2624 0.0000 x4  2 Nd 2.75
4 Cl 0.0000 0.5000 0.2486 x4  2 Cl 2.67-2.70
5 Cl 0.1927 0.1380 0.5000 x8  2 Nd 2.79-2.87

Calculated values
The total moment comes out at 0.00 μB per cell. The value obtained for the raw formation energy is -22.4 eV per formula unit. The calculated total energy comes out at -4.32 eV/atom. The density is 3.5 g cm⁻³.

Entry 3:
Sr2La2Os | PBE-GGA | relaxed

a = 7.4887 Å, b = 7.4887 Å, c = 6.5624 Å
α = 90.00°, β = 90.00°, γ = 90.00°
With the nearest neighbours (Å) after each atom.
Space group P4/mbm (No. 127)
One atom of each set of equivalent atoms:
1 Sr 0.1865 0.3135 0.0000 x4  2 La 3.61, 5 Sr 3.86-3.95
2 La 0.1713 0.6713 0.5000 x4  2 Os 2.78
3 Os 0.0000 0.0000 0.5000 x2  4 La 2.78

Calculated values
The formation energy is 97 kJ/mol of formula units. The total moment comes out at 0.00 μB per cell. The calculated total energy comes out at -4.69 eV/atom. The density is 5.8 g cm⁻³.

Entry 4:
AlSn2Cl | PBE-GGA | relaxed

a = 6.0990 Å, b = 6.0990 Å, c = 14.6136 Å
α = 90.00°, β = 90.00°, γ = 90.00°
With the nearest neighbours (Å) after each atom.
Space group I-42d (No. 122)
One atom of each set of equivalent atoms:
1 Al 0.0000 0.0000 0.0000 x4  4 Sn 2.76
2 Sn 0.2282 0.2500 0.1250 x8  2 Al 2.76, 2 Cl 2.90
3 Cl 0.0000 0.0000 0.5000 x4  4 Sn 2.90

Calculated values
The total moment comes out at 0.00 μB per cell. The value obtained for the excess energy over the best structure of this formula in the dataset is 17.5 kJ/mol of atoms. The value obtained for the raw formation energy is 0.7 eV per formula unit. The calculated total energy comes out at -3.24 eV/atom. The density is 3.7 g cm⁻³.

Entry 5:
Sm2TePd | PBE-GGA | relaxed

a = 3.7795 Å, b = 3.7795 Å, c = 7.2399 Å
α = 90.00°, β = 90.00°, γ = 90.00°
With the nearest neighbours (Å) after each atom.
Space group P4/mmm (No. 123)
One atom of each set of equivalent atoms:
1 Sm 0.0000 0.0000 0.2327 x2  4 Pd 3.16, 4 Te 3.30, 1 Sm 3.37
2 Te 0.5000 0.5000 0.5000 x1  8 Sm 3.30, 2 Pd 3.62
3 Pd 0.5000 0.5000 0.0000 x1  8 Sm 3.16

Calculated values
The total moment comes out at 0.00 μB per cell. The value obtained for the excess energy over the best structure of this formula in the dataset is 13.3 kJ/mol of atoms. The value obtained for the raw formation energy is -3.7 eV per formula unit. The calculated total energy comes out at -5.37 eV/atom. The density is 8.6 g cm⁻³.

Entry 6:
V2TcPt | PBE-GGA | relaxed

a = 3.1271 Å, b = 3.1271 Å, c = 5.8386 Å
α = 90.00°, β = 90.00°, γ = 90.00°
With the nearest neighbours (Å) after each atom.
Space group P4/mmm (No. 123)
One atom of each set of equivalent atoms:
1 V 0.0000 0.0000 0.2355 x2  4 Tc 2.60, 4 Pt 2.70, 1 V 2.75
2 Tc 0.5000 0.5000 0.0000 x1  8 V 2.60
3 Pt 0.5000 0.5000 0.5000 x1  8 V 2.70, 2 Tc 2.92

Calculated values
The formation energy is -127 kJ/mol of formula units. The total moment comes out at 0.00 μB per cell. The calculated total energy comes out at -8.99 eV/atom. The density is 11.5 g cm⁻³.